No. 1
Compound: NaPmTmHg
Source: Alexandria
Functional: PBE
Structure: optimized geometry

The calculation puts the volume at 27.510 A^3/atom. For the formation energy, the calculation gives -0.2 eV per formula unit. The value obtained for the density of states at the Fermi level is 4.97 states/eV/f.u.

The space group is F-43m (No. 216) and the conventional cell measures 7.607, 7.607 and 7.607 Å, with angles of 90.00, 90.00 and 90.00 degrees. The inequivalent atoms are Na at (0.000, 0.000, 0.000), Pm at (0.250, 0.250, 0.250), Tm at (0.250, 0.250, 0.750) and Hg at (0.000, 0.000, 0.500).

=====

No. 2
Compound: TbScCdSn
Source: Alexandria
Functional: PBE
Structure: optimized geometry

The calculation puts the volume at 24.355 A^3/atom. For the formation energy, the calculation gives -1.8 eV per formula unit. The value obtained for the density of states at the Fermi level is 2.79 states/eV/f.u.

The space group is F-43m (No. 216) and the conventional cell measures 7.304, 7.304 and 7.304 Å, with angles of 90.00, 90.00 and 90.00 degrees. The inequivalent atoms are Tb at (0.000, 0.000, 0.000), Sc at (0.000, 0.000, 0.500), Cd at (0.250, 0.250, 0.750) and Sn at (0.250, 0.250, 0.250).

=====

No. 3
Compound: Mo4HN2
Source: Alexandria
Functional: PBE
Structure: optimized geometry

The calculation puts the volume at 10.850 A^3/atom. Its total energy is -517.34 eV per cell. The value obtained for the density of states at the Fermi level is 4.65 states/eV/f.u.

The space group is Fdd2 (No. 43) and the conventional cell measures 9.956, 10.395 and 5.871 Å, with angles of 90.00, 90.00 and 90.00 degrees. The inequivalent atoms are Mo at (0.119, 0.094, 0.000), Mo at (0.120, 0.089, 0.503), H at (0.000, 0.000, 0.750) and N at (0.005, 0.250, 0.500).

=====

No. 4
Compound: IrRuI2N
Source: Alexandria
Functional: PBE
Structure: optimized geometry

The calculation puts the uncorrected formation energy at 1.088 eV/atom. The calculation puts the energy relative to the lowest polymorph listed for this composition at 30 kJ/mol of formula units. The calculation puts the volume at 21.084 A^3/atom. The value obtained for the density of states at the Fermi level is 5.56 states/eV/f.u.

The space group is P4/mmm (No. 123) and the conventional cell measures 5.390, 5.390 and 3.629 Å, with angles of 90.00, 90.00 and 90.00 degrees. The inequivalent atoms are Ir at (0.000, 0.000, 0.000), Ru at (0.500, 0.500, 0.500), I at (0.000, 0.500, 0.500) and N at (0.500, 0.500, 0.000).

=====

No. 5
Compound: TiTcS3
Source: Alexandria
Functional: PBE
Structure: optimized geometry

The calculation puts the uncorrected formation energy at 0.146 eV/atom. The calculation puts the energy relative to the lowest polymorph listed for this composition at 399 kJ/mol of formula units. The calculation puts the volume at 20.589 A^3/atom. The value obtained for the density of states at the Fermi level is 1.50 states/eV/f.u.

The space group is Pm-3m (No. 221) and the conventional cell measures 4.687, 4.687 and 4.687 Å, with angles of 90.00, 90.00 and 90.00 degrees. The inequivalent atoms are Ti at (0.000, 0.000, 0.000), Tc at (0.500, 0.500, 0.500) and S at (0.000, 0.000, 0.500).

=====

No. 6
Compound: La3PrNd2Se6
Source: Alexandria
Functional: PBE
Structure: optimized geometry

The calculation puts the uncorrected formation energy at -1.928 eV/atom. The calculation puts the volume at 27.656 A^3/atom. The value obtained for the density of states at the Fermi level is 6.24 states/eV/f.u.

The space group is C2/m (No. 12) and the conventional cell measures 7.405, 12.865 and 7.395 Å, with angles of 90.00, 109.59 and 90.00 degrees. The inequivalent atoms are La at (0.000, 0.000, 0.000), La at (0.000, 0.334, 0.000), Pr at (0.000, 0.500, 0.500), Nd at (0.000, 0.167, 0.500), Se at (0.247, 0.000, 0.746) and Se at (0.250, 0.168, 0.254).